(1)
This record from Alexandria describes an optimized crystal structure of HgPRh2. The functional is PBE.

Magnetic moment ... 0.0 μB/f.u.
Energy relative to the elements ... -0.61 eV per formula unit
Space-group type ... Immm (71)

Cell lengths 4.9020, 4.9020, 4.9020 Å; angles 139.48, 117.01, 77.62 degrees
Atoms (fractional coordinates):
Hg 0.5000 0.0000 0.5000
Rh 0.1911 0.1911 0.0000
P 0.0000 0.5000 0.5000
Rh 0.8089 0.8089 0.0000

(2)
This record from Alexandria describes an optimized crystal structure of RuC3. The functional is PBE.

Magnetic moment ... 1.7 μB/f.u.
Energy relative to the elements ... 10.31 eV per formula unit
Space-group type ... Pm-3m (221)

Cell lengths 3.9590, 3.9590, 3.9590 Å; angles 90.00, 90.00, 90.00 degrees
Atoms (fractional coordinates):
C 0.0000 0.0000 0.5000
C 0.5000 0.0000 0.0000
Ru 0.0000 0.0000 0.0000
C 0.0000 0.5000 0.0000

(3)
This record from Alexandria describes an optimized crystal structure of BaNaGa2Br. The functional is PBE.

Magnetic moment ... 0.0 μB/f.u.
Formation energy (no corrections) ... -209 meV/atom
Space-group type ... P4/mmm (123)

Cell lengths 5.4382, 5.4828, 5.4382 Å; angles 90.00, 90.00, 90.00 degrees
Atoms (fractional coordinates):
Ga 0.0000 0.0000 0.5000
Br 0.0000 0.5000 0.0000
Na 0.0000 0.0000 0.0000
Ga 0.5000 0.0000 0.0000
Ba 0.5000 0.5000 0.5000

(4)
This record from Alexandria describes an optimized crystal structure of CeDyGaAg. The functional is PBE.

Magnetic moment ... 1.2 μB/f.u.
Energy relative to the elements ... -1.34 eV per formula unit
Space-group type ... F-43m (216)

Cell lengths 5.1781, 5.1781, 5.1781 Å; angles 60.00, 60.00, 60.00 degrees
Atoms (fractional coordinates):
Ag 0.2500 0.2500 0.2500
Dy 0.0000 0.0000 0.0000
Ga 0.7500 0.7500 0.7500
Ce 0.5000 0.5000 0.5000

(5)
This record from Alexandria describes an optimized crystal structure of TiBi2Pt. The functional is PBE.

Magnetic moment ... 0.0 μB/f.u.
Energy relative to the elements ... 0.56 eV per formula unit
Space-group type ... I-42d (122)

Cell lengths 4.5878, 4.5878, 9.8517 Å; angles 76.54, 76.54, 90.00 degrees
Atoms (fractional coordinates):
Ti 0.2500 0.7500 0.5000
Bi 0.6235 0.1250 0.2500
Bi 0.8750 0.8735 0.7500
Pt 0.7500 0.2500 0.5000
Bi 0.3750 0.3765 0.7500
Bi 0.1265 0.6250 0.2500
Ti 0.5000 0.5000 0.0000
Pt 0.0000 0.0000 0.0000

(6)
This record from Alexandria describes an optimized crystal structure of Li2Cd8Ni. The functional is PBE.

Magnetic moment ... 0.0 μB/f.u.
Energy relative to the elements ... -0.98 eV per formula unit
Space-group type ... Immm (71)

Cell lengths 4.7670, 6.6730, 8.0059 Å; angles 114.62, 107.32, 90.00 degrees
Atoms (fractional coordinates):
Cd 0.0001 0.7311 0.0002
Cd 0.9999 0.2689 0.9998
Li 0.8091 0.3092 0.6181
Cd 0.6362 0.8602 0.2725
Cd 0.3638 0.1398 0.7275
Ni 0.5000 0.0000 0.0000
Cd 0.3640 0.5876 0.7280
Cd 0.8262 0.8260 0.6524
Cd 0.1738 0.1740 0.3476
Cd 0.6360 0.4124 0.2720
Li 0.1909 0.6908 0.3819